1.
VASP calculation (PBE-GGA) on YAlS2Cl after structural relaxation.

Structure (POSCAR):
```
YAlS2Cl
1.0
5.289 0.000 0.000
0.000 5.289 0.000
0.000 0.000 5.287
Y Al S Cl
1 1 2 1
Direct
0.000 0.000 0.000 Y
0.500 0.500 0.500 Al
0.000 0.500 0.000 S
0.500 0.000 0.000 S
0.000 0.000 0.500 Cl
```

Summary:
M_tot = 0.90 μB/f.u.
Uncorrected formation energy = -0.78 eV per atom
SG = P4/mmm
DOS(E_F) = 3.2 states/eV per cell
Uncorrected energy = -24.22 eV/f.u.



2.
VASP calculation (PBE-GGA) on AlZnS2Cl after structural relaxation.

Structure (POSCAR):
```
AlZnS2Cl
1.0
4.697 0.000 0.000
0.000 4.697 0.000
0.000 0.000 4.568
Al Zn S Cl
1 1 2 1
Direct
0.000 0.000 0.000 Al
0.500 0.500 0.500 Zn
0.000 0.500 0.000 S
0.500 0.000 0.000 S
0.000 0.000 0.500 Cl
```

Summary:
M_tot = 0.00 μB/f.u.
Uncorrected formation energy = -0.23 eV per atom
SG = P4/mmm
DOS(E_F) = 0.7 states/eV per cell
Uncorrected energy = -16.28 eV/f.u.



3.
VASP calculation (PBE-GGA) on ZrAlSCl2 after structural relaxation.

Structure (POSCAR):
```
ZrAlSCl2
1.0
4.794 0.000 0.000
0.000 4.794 0.000
0.000 0.000 6.021
Zr Al S Cl
1 1 1 2
Direct
0.000 0.000 0.000 Zr
0.000 0.000 0.500 Al
0.500 0.500 0.500 S
0.000 0.500 0.000 Cl
0.500 0.000 0.000 Cl
```

Summary:
M_tot = 0.00 μB/f.u.
Uncorrected formation energy = -0.26 eV per atom
SG = P4/mmm
DOS(E_F) = 4.9 states/eV per cell
Uncorrected energy = -21.40 eV/f.u.



The highest uncorrected formation energy belongs to which entry?
AlZnS2Cl